# 1
# Re2W PBE-GGA optimized geometry
data_Re2W
_cell_length_a 5.144
_cell_length_b 5.144
_cell_length_c 8.338
_cell_angle_alpha 90.00
_cell_angle_beta 90.00
_cell_angle_gamma 119.93
_space_group_name_H-M_alt 'P 1'
_space_group_IT_number 1
_space_group_name_Hall 'P 1'
loop_
_atom_site_label
_atom_site_type_symbol
_atom_site_fract_x
_atom_site_fract_y
_atom_site_fract_z
_atom_site_occupancy
Re1 Re 0.158 0.324 0.750 1
Re2 Re 0.167 0.833 0.567 1
Re3 Re 0.167 0.833 0.933 1
Re4 Re 0.324 0.158 0.250 1
Re5 Re 0.676 0.842 0.750 1
Re6 Re 0.833 0.167 0.067 1
Re7 Re 0.833 0.167 0.433 1
Re8 Re 0.842 0.676 0.250 1
W1 W 0.327 0.673 0.250 1
W2 W 0.500 0.500 0.000 1
W3 W 0.500 0.500 0.500 1
W4 W 0.673 0.327 0.750 1
# energy of formation: 404 meV per atom
# distance to the lowest polymorph of the same formula: 0.326 eV per atom

***

# 2
# Re13W2 PBE-GGA optimized geometry
data_Re13W2
_cell_length_a 9.567
_cell_length_b 9.567
_cell_length_c 4.982
_cell_angle_alpha 90.00
_cell_angle_beta 90.00
_cell_angle_gamma 90.00
_space_group_name_H-M_alt 'P 1'
_space_group_IT_number 1
_space_group_name_Hall 'P 1'
loop_
_atom_site_label
_atom_site_type_symbol
_atom_site_fract_x
_atom_site_fract_y
_atom_site_fract_z
_atom_site_occupancy
Re1 Re 0.000 0.000 0.000 1
Re2 Re 0.037 0.367 0.500 1
Re3 Re 0.064 0.263 0.000 1
Re4 Re 0.133 0.537 0.000 1
Re5 Re 0.184 0.816 0.252 1
Re6 Re 0.184 0.816 0.748 1
Re7 Re 0.237 0.564 0.500 1
Re8 Re 0.263 0.064 0.000 1
Re9 Re 0.316 0.316 0.248 1
Re10 Re 0.316 0.316 0.752 1
Re11 Re 0.367 0.037 0.500 1
Re12 Re 0.436 0.763 0.500 1
Re13 Re 0.463 0.867 0.000 1
Re14 Re 0.500 0.500 0.500 1
Re15 Re 0.537 0.133 0.000 1
Re16 Re 0.564 0.237 0.500 1
Re17 Re 0.633 0.963 0.500 1
Re18 Re 0.684 0.684 0.248 1
Re19 Re 0.684 0.684 0.752 1
Re20 Re 0.737 0.936 0.000 1
Re21 Re 0.763 0.436 0.500 1
Re22 Re 0.816 0.184 0.252 1
Re23 Re 0.816 0.184 0.748 1
Re24 Re 0.867 0.463 0.000 1
Re25 Re 0.936 0.737 0.000 1
Re26 Re 0.963 0.633 0.500 1
W1 W 0.102 0.102 0.500 1
W2 W 0.398 0.602 0.000 1
W3 W 0.602 0.398 0.000 1
W4 W 0.898 0.898 0.500 1
# energy of formation: 67 meV per atom

***

# 3
# Re2W PBE-GGA optimized geometry
data_Re2W
_cell_length_a 5.121
_cell_length_b 5.121
_cell_length_c 16.697
_cell_angle_alpha 90.00
_cell_angle_beta 90.00
_cell_angle_gamma 120.00
_space_group_name_H-M_alt 'P 1'
_space_group_IT_number 1
_space_group_name_Hall 'P 1'
loop_
_atom_site_label
_atom_site_type_symbol
_atom_site_fract_x
_atom_site_fract_y
_atom_site_fract_z
_atom_site_occupancy
Re1 Re 0.000 0.500 0.000 1
Re2 Re 0.000 0.500 0.500 1
Re3 Re 0.160 0.320 0.250 1
Re4 Re 0.160 0.840 0.250 1
Re5 Re 0.320 0.160 0.750 1
Re6 Re 0.333 0.667 0.127 1
Re7 Re 0.333 0.667 0.373 1
Re8 Re 0.500 0.000 0.000 1
Re9 Re 0.500 0.000 0.500 1
Re10 Re 0.500 0.500 0.000 1
Re11 Re 0.500 0.500 0.500 1
Re12 Re 0.667 0.333 0.627 1
Re13 Re 0.667 0.333 0.873 1
Re14 Re 0.680 0.840 0.250 1
Re15 Re 0.840 0.160 0.750 1
Re16 Re 0.840 0.680 0.750 1
W1 W 0.000 0.000 0.092 1
W2 W 0.000 0.000 0.408 1
W3 W 0.000 0.000 0.592 1
W4 W 0.000 0.000 0.908 1
W5 W 0.333 0.667 0.656 1
W6 W 0.333 0.667 0.844 1
W7 W 0.667 0.333 0.156 1
W8 W 0.667 0.333 0.344 1
# energy of formation: 200 meV per atom
# distance to the lowest polymorph of the same formula: 0.122 eV per atom

***

# 4
# Re6W7 PBE-GGA optimized geometry
data_Re6W7
_cell_length_a 9.635
_cell_length_b 9.635
_cell_length_c 9.635
_cell_angle_alpha 30.83
_cell_angle_beta 30.83
_cell_angle_gamma 30.83
_space_group_name_H-M_alt 'P 1'
_space_group_IT_number 1
_space_group_name_Hall 'P 1'
loop_
_atom_site_label
_atom_site_type_symbol
_atom_site_fract_x
_atom_site_fract_y
_atom_site_fract_z
_atom_site_occupancy
Re1 Re 0.089 0.089 0.584 1
Re2 Re 0.089 0.584 0.089 1
Re3 Re 0.416 0.911 0.911 1
Re4 Re 0.584 0.089 0.089 1
Re5 Re 0.911 0.416 0.911 1
Re6 Re 0.911 0.911 0.416 1
W1 W 0.000 0.000 0.000 1
W2 W 0.167 0.167 0.167 1
W3 W 0.348 0.348 0.348 1
W4 W 0.452 0.452 0.452 1
W5 W 0.548 0.548 0.548 1
W6 W 0.652 0.652 0.652 1
W7 W 0.833 0.833 0.833 1
# energy of formation: 161 meV per atom
# distance to the lowest polymorph of the same formula: 0.000 eV per atom

***

# 5
# Re2W3 PBE-GGA optimized geometry
data_Re2W3
_cell_length_a 9.679
_cell_length_b 9.679
_cell_length_c 5.067
_cell_angle_alpha 90.00
_cell_angle_beta 90.00
_cell_angle_gamma 90.00
_space_group_name_H-M_alt 'P 1'
_space_group_IT_number 1
_space_group_name_Hall 'P 1'
loop_
_atom_site_label
_atom_site_type_symbol
_atom_site_fract_x
_atom_site_fract_y
_atom_site_fract_z
_atom_site_occupancy
Re1 Re 0.067 0.261 0.000 1
Re2 Re 0.099 0.099 0.500 1
Re3 Re 0.239 0.567 0.500 1
Re4 Re 0.261 0.067 0.000 1
Re5 Re 0.401 0.599 0.000 1
Re6 Re 0.433 0.761 0.500 1
Re7 Re 0.567 0.239 0.500 1
Re8 Re 0.599 0.401 0.000 1
Re9 Re 0.739 0.933 0.000 1
Re10 Re 0.761 0.433 0.500 1
Re11 Re 0.901 0.901 0.500 1
Re12 Re 0.933 0.739 0.000 1
W1 W 0.000 0.000 0.000 1
W2 W 0.036 0.367 0.500 1
W3 W 0.133 0.536 0.000 1
W4 W 0.184 0.816 0.250 1
W5 W 0.184 0.816 0.750 1
W6 W 0.316 0.316 0.250 1
W7 W 0.316 0.316 0.750 1
W8 W 0.367 0.036 0.500 1
W9 W 0.464 0.867 0.000 1
W10 W 0.500 0.500 0.500 1
W11 W 0.536 0.133 0.000 1
W12 W 0.633 0.964 0.500 1
W13 W 0.684 0.684 0.250 1
W14 W 0.684 0.684 0.750 1
W15 W 0.816 0.184 0.250 1
W16 W 0.816 0.184 0.750 1
W17 W 0.867 0.464 0.000 1
W18 W 0.964 0.633 0.500 1
# energy of formation: 80 meV per atom
# distance to the lowest polymorph of the same formula: 0.000 eV per atom

***

# 6
# Re3W10 PBE-GGA optimized geometry
data_Re3W10
_cell_length_a 9.765
_cell_length_b 9.765
_cell_length_c 9.765
_cell_angle_alpha 30.56
_cell_angle_beta 30.56
_cell_angle_gamma 30.56
_space_group_name_H-M_alt 'P 1'
_space_group_IT_number 1
_space_group_name_Hall 'P 1'
loop_
_atom_site_label
_atom_site_type_symbol
_atom_site_fract_x
_atom_site_fract_y
_atom_site_fract_z
_atom_site_occupancy
Re1 Re 0.000 0.000 0.000 1
Re2 Re 0.350 0.350 0.350 1
Re3 Re 0.650 0.650 0.650 1
W1 W 0.091 0.091 0.587 1
W2 W 0.091 0.587 0.091 1
W3 W 0.167 0.167 0.167 1
W4 W 0.413 0.909 0.909 1
W5 W 0.455 0.455 0.455 1
W6 W 0.545 0.545 0.545 1
W7 W 0.587 0.091 0.091 1
W8 W 0.833 0.833 0.833 1
W9 W 0.909 0.413 0.909 1
W10 W 0.909 0.909 0.413 1
# energy of formation: 366 meV per atom
# distance to the lowest polymorph of the same formula: 0.084 eV per atom